(1)
Below is a geometry-optimized LaHoZnTe3 structure, with properties calculated at the GGA-PBE level.

a = 7.9341 Å, b = 7.9341 Å, c = 10.6517 Å
α = 90.00°, β = 90.00°, γ = 148.83°
With the nearest neighbours (Å) after each atom.
Atoms (fractional coordinates):
La1 0.2254 0.7746 0.7500  6 Te 3.27-3.29
La2 0.7746 0.2254 0.2500  6 Te 3.27-3.29
Ho1 0.0000 0.0000 0.0000  6 Te 3.13-3.15, 4 Zn 3.43
Ho2 0.0000 0.0000 0.5000  6 Te 3.13-3.15, 4 Zn 3.43
Zn1 0.4777 0.5223 0.2500  4 Te 2.88-2.94
Zn2 0.5223 0.4777 0.7500  4 Te 2.88-2.94
Te1 0.1103 0.8897 0.2500  2 Zn 2.94, 2 Ho 3.15, 2 La 3.29
Te2 0.3537 0.6463 0.0463  1 Zn 2.88, 2 Ho 3.13
Te3 0.3537 0.6463 0.4537  1 Zn 2.88, 2 Ho 3.13
Te4 0.6463 0.3537 0.5463  1 Zn 2.88, 2 Ho 3.13
Te5 0.6463 0.3537 0.9537  1 Zn 2.88, 2 Ho 3.13
Te6 0.8897 0.1103 0.7500  2 Zn 2.94, 2 Ho 3.15, 2 La 3.29

Final energy: -4.394 eV per atom

---

(2)
Below is a geometry-optimized LaHoTl structure, with properties calculated at the GGA-PBE level.

a = 5.3005 Å, b = 5.3005 Å, c = 5.3005 Å
α = 60.00°, β = 60.00°, γ = 60.00°
With the nearest neighbours (Å) after each atom.
Atoms (fractional coordinates):
La1 0.0000 0.0000 0.0000  4 Tl 3.25
Ho1 0.5000 0.5000 0.5000  4 Tl 3.25
Tl1 0.7500 0.7500 0.7500  4 La 3.25, 4 Ho 3.25

Final energy: -4.006 eV per atom

---

(3)
Below is a geometry-optimized LaHo2Tl3 structure, with properties calculated at the GGA-PBE level.

a = 3.7856 Å, b = 3.7856 Å, c = 11.7789 Å
α = 90.00°, β = 90.00°, γ = 90.00°
With the nearest neighbours (Å) after each atom.
Atoms (fractional coordinates):
La1 0.0000 0.0000 0.0000  8 Tl 3.44, 4 La 3.79
Ho1 0.0000 0.0000 0.3408  8 Tl 3.26-3.27
Ho2 0.0000 0.0000 0.6592  8 Tl 3.26-3.27
Tl1 0.5000 0.5000 0.1836  4 Ho 3.26, 4 La 3.44
Tl2 0.5000 0.5000 0.5000  8 Ho 3.27
Tl3 0.5000 0.5000 0.8164  4 Ho 3.26, 4 La 3.44

Final energy: -3.894 eV per atom

---

(4)
Below is a geometry-optimized LaHoTm structure, with properties calculated at the GGA-PBE level.

a = 5.4691 Å, b = 5.4691 Å, c = 5.4691 Å
α = 60.00°, β = 60.00°, γ = 60.00°
With the nearest neighbours (Å) after each atom.
Atoms (fractional coordinates):
La1 0.0000 0.0000 0.0000  4 Tm 3.35
Ho1 0.5000 0.5000 0.5000  4 Tm 3.35
Tm1 0.7500 0.7500 0.7500  4 Ho 3.35, 4 La 3.35

Final energy: -3.963 eV per atom
Calculated formation energy: 0.6952 eV per atom

---

(5)
Below is a geometry-optimized LaYHo structure, with properties calculated at the GGA-PBE level.

a = 5.5026 Å, b = 5.5026 Å, c = 5.5026 Å
α = 60.00°, β = 60.00°, γ = 60.00°
With the nearest neighbours (Å) after each atom.
Atoms (fractional coordinates):
La1 0.0000 0.0000 0.0000  4 Ho 3.37
Y1 0.5000 0.5000 0.5000  4 Ho 3.37
Ho1 0.2500 0.2500 0.2500  4 Y 3.37, 4 La 3.37

Final energy: -4.627 eV per atom
Calculated formation energy: 0.6950 eV per atom

---

(6)
Below is a geometry-optimized LaHoZn structure, with properties calculated at the GGA-PBE level.

a = 5.0410 Å, b = 5.0410 Å, c = 5.0410 Å
α = 60.00°, β = 60.00°, γ = 60.00°
With the nearest neighbours (Å) after each atom.
Atoms (fractional coordinates):
La1 0.0000 0.0000 0.0000  4 Zn 3.09
Ho1 0.5000 0.5000 0.5000  4 Zn 3.09
Zn1 0.7500 0.7500 0.7500  4 La 3.09, 4 Ho 3.09

Final energy: -3.574 eV per atom
Calculated formation energy: 0.0145 eV per atom

---

(7)
Below is a geometry-optimized LaHoZr structure, with properties calculated at the GGA-PBE level.

a = 5.2415 Å, b = 5.2415 Å, c = 5.2415 Å
α = 60.00°, β = 60.00°, γ = 60.00°
With the nearest neighbours (Å) after each atom.
Atoms (fractional coordinates):
La1 0.0000 0.0000 0.0000  4 Ho 3.21
Ho1 0.2500 0.2500 0.2500  4 Zr 3.21, 4 La 3.21
Zr1 0.5000 0.5000 0.5000  4 Ho 3.21

Final energy: -5.116 eV per atom
Calculated formation energy: 0.8993 eV per atom

---

(8)
Below is a geometry-optimized Li2Ho structure, with properties calculated at the GGA-PBE level.

a = 4.9726 Å, b = 4.9726 Å, c = 4.9726 Å
α = 60.00°, β = 60.00°, γ = 60.00°
With the nearest neighbours (Å) after each atom.
Atoms (fractional coordinates):
Li1 0.2500 0.2500 0.2500  4 Ho 3.05
Li2 0.7500 0.7500 0.7500  4 Ho 3.05
Ho1 0.0000 0.0000 0.0000  8 Li 3.05

Final energy: -2.003 eV per atom